Compound: ZrSiMo
Source: OQMD via LeMat-Bulk
Functional: PBE
Structure: relaxed

Cell and atoms, written as extended XYZ:
```
6
Lattice="4.6403 0.0000 0.0000 -2.3201 4.0186 0.0000 0.0000 0.0000 5.4089" Properties=species:S:1:pos:R:3 pbc="T T T"
Mo 0.0000 0.0000 0.0000
Mo 0.0000 0.0000 2.7045
Si 0.0000 2.6791 1.3522
Si 2.3201 1.3395 4.0567
Zr 2.3201 1.3395 1.3522
Zr 0.0000 2.6791 4.0567
```

Output
E_tot: -51.53 eV for the cell shown